A plane-wave DFT calculation with GGA-PBE was carried out for a relaxed La6Pm5Mg crystal.

a b c (Å): 5.217 10.266 15.664
angles (deg): 90.00 90.00 90.00
Space group Immm (No. 71)
Asymmetric unit:
La 0.000 0.246 0.000 x4
La 0.000 0.254 0.335 x8
Pm 0.000 0.000 0.171 x4
Pm 0.000 0.000 0.500 x2
Pm 0.000 0.500 0.165 x4
Mg 0.000 0.500 0.500 x2

**Crystal system**: orthorhombic
**Mass density**: 6.3 g/cm3
**Energy of formation from the pure elements**: 0.11 eV per formula unit